(1)
# PBE MgReSi2, optimized geometry
# * M_tot: 0.000 μB/cell
# * E_form (uncorrected): 0.234 eV/atom
# * final energy: -23.95 eV per cell
data_MgReSi2
_space_group_name_H-M_alt 'P 4/m m m'
_space_group_IT_number 123
_space_group_name_Hall '-P 4 2'
_cell_length_a 4.288
_cell_length_b 4.288
_cell_length_c 3.171
_cell_angle_alpha 90.00
_cell_angle_beta 90.00
_cell_angle_gamma 90.00
loop_
_atom_site_label
_atom_site_fract_x
_atom_site_fract_y
_atom_site_fract_z
Mg1 0.000 0.000 0.000
Re1 0.500 0.500 0.000
Si1 0.000 0.500 0.500

=====

(2)
# PBE LaPmIrRh, optimized geometry
# * M_tot: 0.000 μB/cell
# * energy of formation: -0.70 eV per atom
# * final energy: -57.38 eV per cell
data_LaPmIrRh
_space_group_name_H-M_alt 'A m m 2'
_space_group_IT_number 38
_cell_length_a 4.260
_cell_length_b 3.990
_cell_length_c 11.028
_cell_angle_alpha 90.00
_cell_angle_beta 90.00
_cell_angle_gamma 90.00
loop_
_space_group_symop_operation_xyz
'x,y,z'
'-x,-y,z'
'-x,y,z'
'x,-y,z'
'x,y+1/2,z+1/2'
'-x,-y+1/2,z+1/2'
'-x,y+1/2,z+1/2'
'x,-y+1/2,z+1/2'
loop_
_atom_site_label
_atom_site_fract_x
_atom_site_fract_y
_atom_site_fract_z
La1 0.000 0.000 0.000
Pm1 0.500 0.000 0.284
Ir1 0.500 0.000 0.561
Rh1 0.000 0.000 0.728

=====

- Which formula does entry 1 have?
  MgReSi2

=====

Please write out number 1 again, unchanged.
# PBE MgReSi2, optimized geometry
# * M_tot: 0.000 μB/cell
# * E_form (uncorrected): 0.234 eV/atom
# * final energy: -23.95 eV per cell
data_MgReSi2
_space_group_name_H-M_alt 'P 4/m m m'
_space_group_IT_number 123
_space_group_name_Hall '-P 4 2'
_cell_length_a 4.288
_cell_length_b 4.288
_cell_length_c 3.171
_cell_angle_alpha 90.00
_cell_angle_beta 90.00
_cell_angle_gamma 90.00
loop_
_atom_site_label
_atom_site_fract_x
_atom_site_fract_y
_atom_site_fract_z
Mg1 0.000 0.000 0.000
Re1 0.500 0.500 0.000
Si1 0.000 0.500 0.500

=====

- Among the records above, which one has the lowest final energy?
  LaPmIrRh